A geometry-optimized BaRh2Pb2 structure. Source: Alexandria via LeMat-Bulk, functional PBE.

Output
Density of states at the Fermi level: 11.7 states/eV/cell
ρ: 10.43 g/cm3
Total DFT energy (no corrections): -4.8809 eV/atom
SG: P4/mbm

abc: 8.1988 8.1988 3.5873
angles: 90.00 90.00 90.00
Last column: nearest neighbours and their distance in Å.
Positions (direct):
1 Ba 0.0000 0.0000 0.0000  4 Rh 3.22, 2 Ba 3.59
2 Ba 0.5000 0.5000 0.0000  4 Rh 3.22, 2 Ba 3.59
3 Rh 0.1287 0.3713 0.0000  6 Pb 2.88-3.17, 1 Rh 2.99, 2 Ba 3.22
4 Rh 0.3713 0.8713 0.0000  6 Pb 2.88-3.17, 1 Rh 2.99, 2 Ba 3.22
5 Rh 0.6287 0.1287 0.0000  6 Pb 2.88-3.17, 1 Rh 2.99, 2 Ba 3.22
6 Rh 0.8713 0.6287 0.0000  6 Pb 2.88-3.17, 1 Rh 2.99, 2 Ba 3.22
7 Pb 0.1461 0.6461 0.5000  6 Rh 2.88-3.17
8 Pb 0.3539 0.1461 0.5000  6 Rh 2.88-3.17
9 Pb 0.6461 0.8539 0.5000  6 Rh 2.88-3.17
10 Pb 0.8539 0.3539 0.5000  6 Rh 2.88-3.17

---

A geometry-optimized AcGd3Ru structure. Source: Alexandria via LeMat-Bulk, functional PBE.

Output
Density of states at the Fermi level: 6.5 states/eV/cell
ρ: 7.98 g/cm3
Total DFT energy (no corrections): -11.2400 eV/atom
SG: Pm-3m

abc: 5.5015 5.5015 5.5015
angles: 90.00 90.00 90.00
Last column: nearest neighbours and their distance in Å.
Positions (direct):
1 Ac 0.0000 0.0000 0.0000  12 Gd 3.89
2 Gd 0.0000 0.5000 0.5000  2 Ru 2.75
3 Gd 0.5000 0.0000 0.5000  2 Ru 2.75
4 Gd 0.5000 0.5000 0.0000  2 Ru 2.75
5 Ru 0.5000 0.5000 0.5000  6 Gd 2.75

---

A geometry-optimized SrTaI3 structure. Source: Alexandria via LeMat-Bulk, functional PBE.

Output
Density of states at the Fermi level: 9.3 states/eV/cell
Offset from the most stable computed form: 478 meV per atom
ρ: 4.28 g/cm3
Total DFT energy (no corrections): -3.2189 eV/atom
SG: Pm-3m
ΔE_f (raw): 0.418 eV per atom

abc: 6.3135 6.3135 6.3135
angles: 90.00 90.00 90.00
Last column: nearest neighbours and their distance in Å.
Positions (direct):
1 Sr 0.0000 0.0000 0.0000  6 I 3.16
2 Ta 0.5000 0.5000 0.5000  12 I 4.46
3 I 0.0000 0.0000 0.5000  2 Sr 3.16
4 I 0.0000 0.5000 0.0000  2 Sr 3.16
5 I 0.5000 0.0000 0.0000  2 Sr 3.16

---

A geometry-optimized SrCaSc structure. Source: Alexandria via LeMat-Bulk, functional PBE.

Output
Density of states at the Fermi level: 19.9 states/eV/cell
Offset from the most stable computed form: 27 meV per atom
ρ: 2.56 g/cm3
Total DFT energy (no corrections): -3.0666 eV/atom
SG: Amm2

abc: 17.7178 4.2883 5.8902
angles: 90.00 90.00 90.00
Last column: nearest neighbours and their distance in Å.
Positions (direct):
1 Sr 0.1875 0.0000 0.0000  2 Sc 3.56, 4 Sr 3.64, 2 Ca 3.95
2 Sr 0.1875 0.5000 0.5000  2 Sc 3.56, 4 Sr 3.64, 2 Ca 3.95
3 Sr 0.8125 0.0000 0.0000  2 Sc 3.56, 4 Sr 3.64, 2 Ca 3.95
4 Sr 0.8125 0.5000 0.5000  2 Sc 3.56, 4 Sr 3.64, 2 Ca 3.95
5 Ca 0.0000 0.0000 0.4970  4 Ca 3.64, 4 Sr 3.95
6 Ca 0.0000 0.5000 0.9970  4 Ca 3.64, 4 Sr 3.95
7 Ca 0.5000 0.0000 0.0027  4 Sc 3.45, 4 Ca 3.64
8 Ca 0.5000 0.5000 0.5027  4 Sc 3.45, 4 Ca 3.64
9 Sc 0.3475 0.0000 0.5023  2 Ca 3.45, 2 Sr 3.56, 4 Sc 3.64
10 Sc 0.3475 0.5000 0.0023  2 Ca 3.45, 2 Sr 3.56, 4 Sc 3.64
11 Sc 0.6525 0.0000 0.5023  2 Ca 3.45, 2 Sr 3.56, 4 Sc 3.64
12 Sc 0.6525 0.5000 0.0023  2 Ca 3.45, 2 Sr 3.56, 4 Sc 3.64

---

A geometry-optimized La4Pr2ErTm structure. Source: Alexandria via LeMat-Bulk, functional PBE.

Output
Density of states at the Fermi level: 12.2 states/eV/cell
ρ: 6.96 g/cm3
Total DFT energy (no corrections): -4.7729 eV/atom
SG: P2/m

abc: 5.2068 5.2448 10.2526
angles: 90.00 90.06 90.00
Last column: nearest neighbours and their distance in Å.
Positions (direct):
1 La 0.9996 0.0000 0.2497  2 Tm 3.65, 4 Pr 3.65-3.66, 2 Er 3.67, 4 La 3.69-3.70
2 La 0.0004 0.0000 0.7503  2 Tm 3.65, 4 Pr 3.65-3.66, 2 Er 3.67, 4 La 3.69-3.70
3 La 0.4999 0.5000 0.2501  2 Er 3.65, 4 Pr 3.65-3.67, 2 Tm 3.67, 4 La 3.69-3.70
4 La 0.5001 0.5000 0.7499  2 Er 3.65, 4 Pr 3.65-3.67, 2 Tm 3.67, 4 La 3.69-3.70
5 Pr 0.0000 0.5000 0.0000  8 La 3.65-3.66, 4 Tm 3.70
6 Pr 0.5000 0.0000 0.5000  8 La 3.65-3.67, 4 Er 3.70
7 Er 0.0000 0.5000 0.5000  8 La 3.65-3.67, 4 Pr 3.70
8 Tm 0.5000 0.0000 0.0000  8 La 3.65-3.67, 4 Pr 3.70

---

A geometry-optimized TiAuSN2 structure. Source: Alexandria via LeMat-Bulk, functional PBE.

Output
Density of states at the Fermi level: 4.0 states/eV/cell
Offset from the most stable computed form: 951 meV per atom
ρ: 6.31 g/cm3
Total DFT energy (no corrections): -4.9688 eV/atom
SG: P4/mmm
ΔE_f (raw): 1.421 eV per atom

abc: 3.9997 3.9997 5.0160
angles: 90.00 90.00 90.00
Last column: nearest neighbours and their distance in Å.
Positions (direct):
1 Ti 0.0000 0.0000 0.0000  4 S 2.83
2 Au 0.5000 0.5000 0.5000  4 N 2.00
3 S 0.5000 0.5000 0.0000  2 Au 2.51
4 N 0.0000 0.5000 0.5000  2 Au 2.00
5 N 0.5000 0.0000 0.5000  2 Au 2.00

---

Look up the density of states at the Fermi level of the third one. 9.3 states/eV/cell